A PBEsol-optimized structure of Nb3GaNi, computed with meta-GGA SCAN.

## Properties
The magnetization comes out at 2.04 μB/cell. The value obtained for the total energy is -125.4 eV for the cell shown.

Geometry as CIF:
```
data_Nb3GaNi
_chemical_formula_sum 'Nb3 Ga1 Ni1'
_space_group_name_H-M_alt 'P m -3 m'
_space_group_IT_number 221
_space_group_name_Hall '-P 4 2 3'
_cell_length_a 4.6472
_cell_length_b 4.6472
_cell_length_c 4.6472
_cell_angle_alpha 90.00
_cell_angle_beta 90.00
_cell_angle_gamma 90.00
loop_
_atom_site_label
_atom_site_fract_x
_atom_site_fract_y
_atom_site_fract_z
Nb1 0.0000 0.0000 0.5000
Ga1 0.0000 0.0000 0.0000
Ni1 0.5000 0.5000 0.5000
```



A PBEsol-optimized structure of NbGa2Ni2, computed with meta-GGA SCAN.

## Properties
The magnetization comes out at 0.00 μB/cell. The value obtained for the total energy is -197.8 eV for the cell shown.

Geometry as CIF:
```
data_NbGa2Ni2
_chemical_formula_sum 'Nb2 Ga4 Ni4'
_space_group_name_H-M_alt 'I 4/m m m'
_space_group_IT_number 139
_space_group_name_Hall '-I 4 2'
_cell_length_a 3.5896
_cell_length_b 3.5896
_cell_length_c 10.7349
_cell_angle_alpha 90.00
_cell_angle_beta 90.00
_cell_angle_gamma 90.00
loop_
_atom_site_label
_atom_site_fract_x
_atom_site_fract_y
_atom_site_fract_z
Nb1 0.0000 0.0000 0.0000
Ga1 0.0000 0.5000 0.2500
Ni1 0.0000 0.0000 0.3967
```



A PBEsol-optimized structure of NbTlGaO2, computed with meta-GGA SCAN.

## Properties
The magnetization comes out at 0.00 μB/cell. The value obtained for the total energy is -140.5 eV for the cell shown.

Geometry as CIF:
```
data_NbTlGaO2
_chemical_formula_sum 'Nb1 Tl1 Ga1 O2'
_space_group_name_H-M_alt 'P 4/m m m'
_space_group_IT_number 123
_space_group_name_Hall '-P 4 2'
_cell_length_a 3.9561
_cell_length_b 3.9561
_cell_length_c 5.5839
_cell_angle_alpha 90.00
_cell_angle_beta 90.00
_cell_angle_gamma 90.00
loop_
_atom_site_label
_atom_site_fract_x
_atom_site_fract_y
_atom_site_fract_z
Nb1 0.0000 0.0000 0.0000
Tl1 0.5000 0.5000 0.5000
Ga1 0.0000 0.0000 0.5000
O1 0.0000 0.5000 0.0000
```



A PBEsol-optimized structure of NbGaOs3, computed with meta-GGA SCAN.

## Properties
The magnetization comes out at 0.01 μB/cell. The value obtained for the total energy is -252.8 eV for the cell shown.

Geometry as CIF:
```
data_NbGaOs3
_chemical_formula_sum 'Nb1 Ga1 Os3'
_space_group_name_H-M_alt 'P m -3 m'
_space_group_IT_number 221
_space_group_name_Hall '-P 4 2 3'
_cell_length_a 4.7084
_cell_length_b 4.7084
_cell_length_c 4.7084
_cell_angle_alpha 90.00
_cell_angle_beta 90.00
_cell_angle_gamma 90.00
loop_
_atom_site_label
_atom_site_fract_x
_atom_site_fract_y
_atom_site_fract_z
Nb1 0.0000 0.0000 0.0000
Ga1 0.5000 0.5000 0.5000
Os1 0.0000 0.0000 0.5000
```



A PBEsol-optimized structure of NbGaOs2, computed with meta-GGA SCAN.

## Properties
The magnetization comes out at 0.00 μB/cell. The value obtained for the total energy is -778.6 eV for the cell shown.

Geometry as CIF:
```
data_NbGaOs2
_chemical_formula_sum 'Nb4 Ga4 Os8'
_space_group_name_H-M_alt 'F m -3 m'
_space_group_IT_number 225
_space_group_name_Hall '-F 4 2 3'
_cell_length_a 6.1928
_cell_length_b 6.1928
_cell_length_c 6.1928
_cell_angle_alpha 90.00
_cell_angle_beta 90.00
_cell_angle_gamma 90.00
loop_
_atom_site_label
_atom_site_fract_x
_atom_site_fract_y
_atom_site_fract_z
Nb1 0.0000 0.0000 0.0000
Ga1 0.0000 0.0000 0.5000
Os1 0.2500 0.2500 0.2500
```



A PBEsol-optimized structure of NbGaPb3, computed with meta-GGA SCAN.

## Properties
The magnetization comes out at 0.00 μB/cell. The value obtained for the total energy is -274.6 eV for the cell shown.

Geometry as CIF:
```
data_NbGaPb3
_chemical_formula_sum 'Nb1 Ga1 Pb3'
_space_group_name_H-M_alt 'P m -3 m'
_space_group_IT_number 221
_space_group_name_Hall '-P 4 2 3'
_cell_length_a 5.4423
_cell_length_b 5.4423
_cell_length_c 5.4423
_cell_angle_alpha 90.00
_cell_angle_beta 90.00
_cell_angle_gamma 90.00
loop_
_atom_site_label
_atom_site_fract_x
_atom_site_fract_y
_atom_site_fract_z
Nb1 0.0000 0.0000 0.0000
Ga1 0.5000 0.5000 0.5000
Pb1 0.0000 0.0000 0.5000
```



A PBEsol-optimized structure of Nb2GaPbW, computed with meta-GGA SCAN.

## Properties
The magnetization comes out at 0.80 μB/cell. The value obtained for the total energy is -216.0 eV for the cell shown.

Geometry as CIF:
```
data_Nb2GaPbW
_chemical_formula_sum 'Nb2 Ga1 Pb1 W1'
_space_group_name_H-M_alt 'P 4/m m m'
_space_group_IT_number 123
_space_group_name_Hall '-P 4 2'
_cell_length_a 5.1087
_cell_length_b 5.1087
_cell_length_c 4.6485
_cell_angle_alpha 90.00
_cell_angle_beta 90.00
_cell_angle_gamma 90.00
loop_
_atom_site_label
_atom_site_fract_x
_atom_site_fract_y
_atom_site_fract_z
Nb1 0.0000 0.5000 0.0000
Ga1 0.0000 0.0000 0.5000
Pb1 0.0000 0.0000 0.0000
W1 0.5000 0.5000 0.5000
```



A PBEsol-optimized structure of NbGa2Pd, computed with meta-GGA SCAN.

## Properties
The magnetization comes out at 5.40 μB/cell. The value obtained for the total energy is -398.9 eV for the cell shown.

Geometry as CIF:
```
data_NbGa2Pd
_chemical_formula_sum 'Nb4 Ga8 Pd4'
_space_group_name_H-M_alt 'F m -3 m'
_space_group_IT_number 225
_space_group_name_Hall '-F 4 2 3'
_cell_length_a 6.2509
_cell_length_b 6.2509
_cell_length_c 6.2509
_cell_angle_alpha 90.00
_cell_angle_beta 90.00
_cell_angle_gamma 90.00
loop_
_atom_site_label
_atom_site_fract_x
_atom_site_fract_y
_atom_site_fract_z
Nb1 0.0000 0.0000 0.0000
Ga1 0.2500 0.2500 0.2500
Pd1 0.0000 0.0000 0.5000
```



A PBEsol-optimized structure of RbNb3Ga, computed with meta-GGA SCAN.

## Properties
The magnetization comes out at 0.00 μB/cell. The value obtained for the total energy is -128.6 eV for the cell shown.

Geometry as CIF:
```
data_RbNb3Ga
_chemical_formula_sum 'Rb1 Nb3 Ga1'
_space_group_name_H-M_alt 'P m -3 m'
_space_group_IT_number 221
_space_group_name_Hall '-P 4 2 3'
_cell_length_a 4.9556
_cell_length_b 4.9556
_cell_length_c 4.9556
_cell_angle_alpha 90.00
_cell_angle_beta 90.00
_cell_angle_gamma 90.00
loop_
_atom_site_label
_atom_site_fract_x
_atom_site_fract_y
_atom_site_fract_z
Rb1 0.0000 0.0000 0.0000
Nb1 0.0000 0.5000 0.5000
Ga1 0.5000 0.5000 0.5000
```



A PBEsol-optimized structure of Rb3NbGa, computed with meta-GGA SCAN.

## Properties
The magnetization comes out at 4.48 μB/cell. The value obtained for the total energy is -105.5 eV for the cell shown.

Geometry as CIF:
```
data_Rb3NbGa
_chemical_formula_sum 'Rb3 Nb1 Ga1'
_space_group_name_H-M_alt 'P m -3 m'
_space_group_IT_number 221
_space_group_name_Hall '-P 4 2 3'
_cell_length_a 6.7464
_cell_length_b 6.7464
_cell_length_c 6.7464
_cell_angle_alpha 90.00
_cell_angle_beta 90.00
_cell_angle_gamma 90.00
loop_
_atom_site_label
_atom_site_fract_x
_atom_site_fract_y
_atom_site_fract_z
Rb1 0.0000 0.0000 0.5000
Nb1 0.0000 0.0000 0.0000
Ga1 0.5000 0.5000 0.5000
```



A PBEsol-optimized structure of Nb2GaReS, computed with meta-GGA SCAN.

## Properties
The magnetization comes out at 0.00 μB/cell. The value obtained for the total energy is -155.3 eV for the cell shown.

Geometry as CIF:
```
data_Nb2GaReS
_chemical_formula_sum 'Nb2 Ga1 Re1 S1'
_space_group_name_H-M_alt 'P 4/m m m'
_space_group_IT_number 123
_space_group_name_Hall '-P 4 2'
_cell_length_a 4.7169
_cell_length_b 4.7169
_cell_length_c 4.4908
_cell_angle_alpha 90.00
_cell_angle_beta 90.00
_cell_angle_gamma 90.00
loop_
_atom_site_label
_atom_site_fract_x
_atom_site_fract_y
_atom_site_fract_z
Nb1 0.0000 0.5000 0.0000
Ga1 0.0000 0.0000 0.0000
Re1 0.0000 0.0000 0.5000
S1 0.5000 0.5000 0.5000
```



A PBEsol-optimized structure of TaNb2GaRu, computed with meta-GGA SCAN.

## Properties
The magnetization comes out at 0.00 μB/cell. The value obtained for the total energy is -178.7 eV for the cell shown.

Geometry as CIF:
```
data_TaNb2GaRu
_chemical_formula_sum 'Ta1 Nb2 Ga1 Ru1'
_space_group_name_H-M_alt 'P 4/m m m'
_space_group_IT_number 123
_space_group_name_Hall '-P 4 2'
_cell_length_a 4.6577
_cell_length_b 4.6577
_cell_length_c 4.3726
_cell_angle_alpha 90.00
_cell_angle_beta 90.00
_cell_angle_gamma 90.00
loop_
_atom_site_label
_atom_site_fract_x
_atom_site_fract_y
_atom_site_fract_z
Ta1 0.0000 0.0000 0.0000
Nb1 0.0000 0.5000 0.5000
Ga1 0.5000 0.5000 0.5000
Ru1 0.5000 0.5000 0.0000
```